This record from Alexandria describes a geometry-optimized InGa2CuO6 structure. The functional is PBE-GGA.

Its volume is 475 Å³/cell. For the energy, the calculation gives -5.59 eV/atom.

It has space group C2/c (No. 15), with a = 9.649 Å, b = 9.229 Å, c = 5.399 Å, α = 90.00°, β = 98.98° and γ = 90.00°. The distinct sites, in fractional coordinates, are In at (0.000, 0.095, 0.250), Ga at (0.184, 0.410, 0.294), Cu at (0.000, 0.276, 0.750), O at (0.112, 0.259, 0.089), O at (0.117, 0.095, 0.635) and O at (0.136, 0.417, 0.619).